(1)
! PBE-GGA AgPb3O, relaxed; values from VASP
! total magnetic moment: 0.000 μB per cell
! E above lowest polymorph: 884 meV per atom
! final energy: -15.37 eV/cell
! symmetry: No. 221
&SYSTEM
  ibrav = 0, nat = 5, ntyp = 3
/
ATOMIC_SPECIES
Ag 107.87 Ag.upf
Pb 207.20 Pb.upf
O 16.00 O.upf
CELL_PARAMETERS angstrom
5.441 0.000 0.000
0.000 5.441 0.000
0.000 0.000 5.441
ATOMIC_POSITIONS crystal
Ag 0.000 0.000 0.000
Pb 0.000 0.000 0.500
Pb 0.000 0.500 0.000
Pb 0.500 0.000 0.000
O 0.500 0.500 0.500

---

(2)
! PBE-GGA SrHo, relaxed; values from VASP
! total magnetic moment: 0.001 μB per cell
! ΔH_f (0 K): 0.124 eV/atom
! final energy: -12.02 eV/cell
! symmetry: No. 11
&SYSTEM
  ibrav = 0, nat = 4, ntyp = 2
/
ATOMIC_SPECIES
Sr 87.62 Sr.upf
Ho 164.93 Ho.upf
CELL_PARAMETERS angstrom
3.852 0.000 0.000
0.000 3.853 0.000
-0.015 0.000 10.927
ATOMIC_POSITIONS crystal
Sr 0.249 0.250 0.152
Sr 0.751 0.750 0.848
Ho 0.251 0.250 0.595
Ho 0.749 0.750 0.405

---

(3)
! PBE-GGA MnCr2As, relaxed; values from VASP
! total magnetic moment: 0.457 μB per cell
! ΔH_f (0 K): 0.151 eV/atom
! final energy: -32.46 eV/cell
! symmetry: No. 25
&SYSTEM
  ibrav = 0, nat = 4, ntyp = 3
/
ATOMIC_SPECIES
Mn 54.94 Mn.upf
Cr 52.00 Cr.upf
As 74.92 As.upf
CELL_PARAMETERS angstrom
2.878 0.000 0.000
0.000 3.623 0.000
0.000 0.000 4.868
ATOMIC_POSITIONS crystal
Mn 0.000 0.000 0.000
Cr 0.000 0.000 0.510
Cr 0.500 0.500 0.752
As 0.500 0.500 0.252

---

(4)
! PBE-GGA KBI2, relaxed; values from VASP
! total magnetic moment: 0.000 μB per cell
! E above lowest polymorph: 0 meV per atom
! final energy: -20.36 eV/cell
! symmetry: No. 122
&SYSTEM
  ibrav = 0, nat = 8, ntyp = 3
/
ATOMIC_SPECIES
K 39.10 K.upf
B 10.81 B.upf
I 126.90 I.upf
CELL_PARAMETERS angstrom
-3.509 3.509 6.985
3.509 -3.509 6.985
3.509 3.509 -6.985
ATOMIC_POSITIONS crystal
K 0.000 0.000 0.000
K 0.750 0.250 0.500
B 0.250 0.750 0.500
B 0.500 0.500 0.000
I 0.238 0.625 0.113
I 0.375 0.488 0.613
I 0.512 0.125 0.887
I 0.875 0.762 0.387

---

(5)
! PBE-GGA YTl2CuCl6, relaxed; values from VASP
! total magnetic moment: 0.011 μB per cell
! final energy: -40.07 eV/cell
! symmetry: No. 12
&SYSTEM
  ibrav = 0, nat = 10, ntyp = 4
/
ATOMIC_SPECIES
Y 88.91 Y.upf
Tl 204.38 Tl.upf
Cu 63.55 Cu.upf
Cl 35.45 Cl.upf
CELL_PARAMETERS angstrom
6.921 -3.537 0.000
6.921 3.537 0.000
-2.322 0.000 6.098
ATOMIC_POSITIONS crystal
Y 0.000 0.000 0.000
Tl 0.263 0.263 0.802
Tl 0.737 0.737 0.198
Cu 0.500 0.500 0.500
Cl 0.193 0.193 0.279
Cl 0.200 0.675 0.219
Cl 0.325 0.800 0.781
Cl 0.675 0.200 0.219
Cl 0.800 0.325 0.781
Cl 0.807 0.807 0.721

---

(6)
! PBE-GGA Pm3Ge2Cl2, relaxed; values from VASP
! total magnetic moment: 0.000 μB per cell
! final energy: -35.77 eV/cell
! symmetry: No. 12
&SYSTEM
  ibrav = 0, nat = 7, ntyp = 3
/
ATOMIC_SPECIES
Pm 145.00 Pm.upf
Ge 72.64 Ge.upf
Cl 35.45 Cl.upf
CELL_PARAMETERS angstrom
5.356 -2.211 0.000
5.356 2.211 0.000
-2.378 0.000 7.503
ATOMIC_POSITIONS crystal
Pm 0.000 0.000 0.000
Pm 0.338 0.338 0.335
Pm 0.662 0.662 0.665
Ge 0.061 0.061 0.387
Ge 0.939 0.939 0.613
Cl 0.330 0.330 0.944
Cl 0.670 0.670 0.056

---

(7)
! PBE-GGA MgPtCl2, relaxed; values from VASP
! total magnetic moment: 0.740 μB per cell
! E above lowest polymorph: 520 meV per atom
! final energy: -12.71 eV/cell
! symmetry: No. 123
&SYSTEM
  ibrav = 0, nat = 4, ntyp = 3
/
ATOMIC_SPECIES
Mg 24.30 Mg.upf
Pt 195.08 Pt.upf
Cl 35.45 Cl.upf
CELL_PARAMETERS angstrom
3.015 0.000 0.000
0.000 3.015 0.000
0.000 0.000 10.605
ATOMIC_POSITIONS crystal
Mg 0.000 0.000 0.000
Pt 0.000 0.000 0.500
Cl 0.500 0.500 0.143
Cl 0.500 0.500 0.857

---

(8)
! PBE-GGA LiLaRe, relaxed; values from VASP
! total magnetic moment: 0.000 μB per cell
! ΔH_f (0 K): 0.577 eV/atom
! E above lowest polymorph: 54 meV per atom
! final energy: -17.56 eV/cell
! symmetry: No. 107
&SYSTEM
  ibrav = 0, nat = 3, ntyp = 3
/
ATOMIC_SPECIES
Li 6.94 Li.upf
La 138.91 La.upf
Re 186.21 Re.upf
CELL_PARAMETERS angstrom
-1.783 1.783 4.603
1.783 -1.783 4.603
1.783 1.783 -4.603
ATOMIC_POSITIONS crystal
Li 0.000 0.000 0.000
La 0.691 0.691 0.000
Re 0.381 0.381 0.000

---

(9)
! PBE-GGA Sr2NbGeO6, relaxed; values from VASP
! total magnetic moment: 0.005 μB per cell
! final energy: -72.48 eV/cell
! symmetry: No. 123
&SYSTEM
  ibrav = 0, nat = 10, ntyp = 4
/
ATOMIC_SPECIES
Sr 87.62 Sr.upf
Nb 92.91 Nb.upf
Ge 72.64 Ge.upf
O 16.00 O.upf
CELL_PARAMETERS angstrom
4.031 0.000 0.000
0.000 4.031 0.000
0.000 0.000 8.035
ATOMIC_POSITIONS crystal
Sr 0.000 0.000 0.232
Sr 0.000 0.000 0.768
Nb 0.500 0.500 0.500
Ge 0.500 0.500 0.000
O 0.000 0.500 0.000
O 0.000 0.500 0.500
O 0.500 0.000 0.000
O 0.500 0.000 0.500
O 0.500 0.500 0.248
O 0.500 0.500 0.752

---

(10)
! PBE-GGA Tb5Dy3Sc2, relaxed; values from VASP
! total magnetic moment: 0.001 μB per cell
! ΔH_f (0 K): 0.036 eV/atom
! final energy: -98.52 eV/cell
! symmetry: No. 2
&SYSTEM
  ibrav = 0, nat = 20, ntyp = 3
/
ATOMIC_SPECIES
Tb 158.93 Tb.upf
Dy 162.50 Dy.upf
Sc 44.96 Sc.upf
CELL_PARAMETERS angstrom
9.240 0.000 0.000
-3.942 8.358 0.000
-2.656 -4.173 7.810
ATOMIC_POSITIONS crystal
Tb 0.023 0.176 0.449
Tb 0.129 0.879 0.250
Tb 0.227 0.575 0.052
Tb 0.275 0.927 0.953
Tb 0.378 0.628 0.750
Tb 0.622 0.372 0.250
Tb 0.725 0.073 0.047
Tb 0.773 0.425 0.948
Tb 0.871 0.121 0.750
Tb 0.977 0.824 0.551
Dy 0.078 0.526 0.350
Dy 0.324 0.272 0.850
Dy 0.474 0.322 0.547
Dy 0.526 0.678 0.453
Dy 0.676 0.728 0.150
Dy 0.922 0.474 0.650
Sc 0.172 0.222 0.149
Sc 0.426 0.976 0.648
Sc 0.574 0.024 0.352
Sc 0.828 0.778 0.851

---

(11)
! PBE-GGA YRu2Se, relaxed; values from VASP
! total magnetic moment: 0.000 μB per cell
! final energy: -28.91 eV/cell
! symmetry: No. 44
&SYSTEM
  ibrav = 0, nat = 4, ntyp = 3
/
ATOMIC_SPECIES
Y 88.91 Y.upf
Ru 101.07 Ru.upf
Se 78.96 Se.upf
CELL_PARAMETERS angstrom
-1.633 2.293 4.657
1.633 -2.293 4.657
1.633 2.293 -4.657
ATOMIC_POSITIONS crystal
Y 0.000 0.000 0.000
Ru 0.275 0.775 0.500
Ru 0.522 0.522 0.000
Se 0.734 0.234 0.500

---

(12)
! PBE-GGA NbPbSe3, relaxed; values from VASP
! total magnetic moment: 0.000 μB per cell
! E above lowest polymorph: 0 meV per atom
! final energy: -54.28 eV/cell
! symmetry: No. 2
&SYSTEM
  ibrav = 0, nat = 10, ntyp = 3
/
ATOMIC_SPECIES
Nb 92.91 Nb.upf
Pb 207.20 Pb.upf
Se 78.96 Se.upf
CELL_PARAMETERS angstrom
3.630 0.000 0.000
1.811 6.576 0.000
1.810 2.957 10.623
ATOMIC_POSITIONS crystal
Nb 0.246 0.382 0.125
Nb 0.754 0.618 0.875
Pb 0.421 0.762 0.396
Pb 0.579 0.238 0.604
Se 0.110 0.415 0.366
Se 0.139 0.914 0.808
Se 0.388 0.320 0.903
Se 0.612 0.680 0.097
Se 0.861 0.086 0.192
Se 0.890 0.585 0.634

---

Please write out number 3 again, unchanged.
! PBE-GGA MnCr2As, relaxed; values from VASP
! total magnetic moment: 0.457 μB per cell
! ΔH_f (0 K): 0.151 eV/atom
! final energy: -32.46 eV/cell
! symmetry: No. 25
&SYSTEM
  ibrav = 0, nat = 4, ntyp = 3
/
ATOMIC_SPECIES
Mn 54.94 Mn.upf
Cr 52.00 Cr.upf
As 74.92 As.upf
CELL_PARAMETERS angstrom
2.878 0.000 0.000
0.000 3.623 0.000
0.000 0.000 4.868
ATOMIC_POSITIONS crystal
Mn 0.000 0.000 0.000
Cr 0.000 0.000 0.510
Cr 0.500 0.500 0.752
As 0.500 0.500 0.252

---

Question: What is the formula in the tenth record?
Answer: Tb5Dy3Sc2